{"formula": "ZrCoCu", "functional": "PBE", "state": "optimized geometry", "lattice": [[4.088, 0.000, 0.001], [2.042, 4.413, -0.366], [0.001, 1.668, 5.092]], "species": ["Co", "Zr", "Co", "Zr", "Cu", "Cu"], "fractional_positions": [[0.703, 0.885, 0.113], [0.184, 0.922, 0.480], [0.892, 0.509, 0.483], [0.410, 0.471, 0.115], [0.522, 0.247, 0.669], [0.072, 0.146, 0.927]], "rho_g_cm3": 7.5, "m_tot_mub_per_cell": 0.9, "relative_energy_mev_per_atom": 182, "final_energy_ev_per_fu": -19.97, "e_form_ev_per_atom": -0.0732, "crystal_system": "monoclinic"}

{"formula": "RbBiI2O", "functional": "PBE", "state": "optimized geometry", "lattice": [[6.461, 0.000, 0.000], [0.000, 6.461, 0.000], [0.000, 0.000, 4.415]], "species": ["I", "Bi", "O", "I", "Rb"], "fractional_positions": [[0.000, 0.500, 0.000], [0.000, 0.000, 0.000], [0.000, 0.000, 0.500], [0.500, 0.000, 0.000], [0.500, 0.500, 0.500]], "rho_g_cm3": 5.1, "m_tot_mub_per_cell": 0.0, "relative_energy_mev_per_atom": 0, "final_energy_ev_per_fu": -17.41, "crystal_system": "tetragonal", "e_form_raw_mev_per_atom": -900.2}

{"formula": "CeAl4Cu2Rh", "functional": "PBE", "state": "optimized geometry", "lattice": [[4.191, 0.000, 0.000], [2.095, 3.629, 0.000], [2.095, 1.210, 8.962]], "species": ["Al", "Rh", "Cu", "Cu", "Al", "Al", "Al", "Ce"], "fractional_positions": [[0.594, 0.594, 0.218], [0.500, 0.500, 0.500], [0.765, 0.765, 0.706], [0.235, 0.235, 0.294], [0.868, 0.868, 0.396], [0.406, 0.406, 0.782], [0.132, 0.132, 0.604], [0.000, 0.000, 0.000]], "rho_g_cm3": 5.8, "m_tot_mub_per_cell": 0.6, "final_energy_ev_per_fu": -40.06, "e_form_ev_per_atom": -0.4511, "crystal_system": "trigonal"}

{"formula": "K3TiTc", "functional": "PBE", "state": "optimized geometry", "lattice": [[-3.760, -0.130, -5.021], [-3.020, -4.953, 2.390], [-4.013, 3.850, 2.906]], "species": ["K", "K", "Tc", "Ti", "K"], "fractional_positions": [[0.000, 0.000, 0.500], [0.500, 0.000, 0.000], [0.000, 0.000, 0.000], [0.500, 0.500, 0.500], [0.000, 0.500, 0.000]], "rho_g_cm3": 1.8, "m_tot_mub_per_cell": 0.0, "relative_energy_mev_per_atom": 0, "final_energy_ev_per_fu": -12.58, "e_form_ev_per_atom": 1.7948, "crystal_system": "cubic"}

{"formula": "Hf2InNi", "functional": "PBE", "state": "optimized geometry", "lattice": [[4.070, 0.000, 0.000], [0.000, 4.070, 0.000], [2.035, 2.035, 10.076]], "species": ["In", "Hf", "Hf", "Hf", "Ni", "Ni", "In", "Hf"], "fractional_positions": [[0.750, 0.250, 0.500], [0.375, 0.379, 0.750], [0.875, 0.871, 0.750], [0.129, 0.625, 0.250], [0.500, 0.500, 0.000], [0.250, 0.750, 0.500], [0.000, 0.000, 0.000], [0.621, 0.125, 0.250]], "rho_g_cm3": 10.6, "m_tot_mub_per_cell": 0.0, "final_energy_ev_per_fu": -26.66, "e_form_ev_per_atom": 0.4412, "crystal_system": "tetragonal"}

{"formula": "Ba2Ag2F7", "functional": "PBE", "state": "optimized geometry", "lattice": [[-1.987, 5.364, -2.034], [-0.153, -1.617, -5.300], [-5.685, -2.103, 0.352]], "species": ["F", "F", "F", "Ag", "Ag", "Ba", "F", "F", "Ba", "F", "F"], "fractional_positions": [[0.395, 0.273, 0.946], [0.000, 0.000, 0.000], [0.478, 0.242, 0.479], [0.263, 0.000, 0.739], [0.737, 0.000, 0.261], [0.249, 0.574, 0.249], [0.055, 0.726, 0.607], [0.522, 0.758, 0.521], [0.751, 0.426, 0.751], [0.605, 0.727, 0.054], [0.945, 0.274, 0.393]], "rho_g_cm3": 5.1, "m_tot_mub_per_cell": 1.0, "final_energy_ev_per_fu": -50.33, "crystal_system": "triclinic", "e_form_raw_mev_per_atom": -2516.2}

{"formula": "Tb2Pm3Hg2", "functional": "PBE", "state": "optimized geometry", "lattice": [[-4.695, -1.122, 0.811], [-0.401, -0.796, -3.424], [0.705, -11.716, 2.642]], "species": ["Hg", "Tb", "Tb", "Pm", "Pm", "Pm", "Hg"], "fractional_positions": [[0.429, 0.500, 0.142], [0.709, 0.500, 0.581], [0.291, 0.500, 0.419], [0.859, 0.000, 0.281], [0.000, 0.000, 0.000], [0.141, 0.000, 0.719], [0.571, 0.500, 0.858]], "rho_g_cm3": 9.4, "m_tot_mub_per_cell": 0.0, "relative_energy_mev_per_atom": 125, "final_energy_ev_per_fu": -24.94, "e_form_ev_per_atom": -0.1173, "crystal_system": "orthorhombic"}

{"formula": "Mg2MoAs", "functional": "PBE", "state": "optimized geometry", "lattice": [[2.874, -0.022, 0.000], [-0.484, 2.833, 0.000], [0.000, 0.000, 8.837]], "species": ["Mg", "Mg", "Mo", "As"], "fractional_positions": [[0.000, 0.000, 0.005], [0.000, 0.000, 0.495], [0.500, 0.500, 0.250], [0.500, 0.500, 0.750]], "rho_g_cm3": 5.1, "m_tot_mub_per_cell": 0.0, "final_energy_ev_per_fu": -18.24, "e_form_ev_per_atom": 0.1075, "crystal_system": "orthorhombic"}

{"formula": "Ac3NdRu2", "functional": "PBE", "state": "optimized geometry", "lattice": [[4.432, 0.000, 0.000], [2.216, 8.705, 0.403], [2.216, 2.501, 10.551]], "species": ["Ac", "Nd", "Ru", "Nd", "Ru", "Ru", "Ac", "Ac", "Ru", "Ac", "Ac", "Ac"], "fractional_positions": [[0.785, 0.830, 0.600], [0.572, 0.520, 0.337], [0.618, 0.193, 0.572], [0.428, 0.480, 0.663], [0.136, 0.565, 0.163], [0.382, 0.807, 0.428], [0.215, 0.170, 0.400], [0.667, 0.689, 0.978], [0.864, 0.435, 0.837], [0.333, 0.311, 0.022], [0.948, 0.877, 0.228], [0.052, 0.123, 0.772]], "rho_g_cm3": 8.5, "m_tot_mub_per_cell": 0.0, "final_energy_ev_per_fu": -36.57, "e_form_ev_per_atom": -0.1539, "crystal_system": "monoclinic"}

{"formula": "KPaBr5", "functional": "PBE", "state": "optimized geometry", "lattice": [[7.711, 0.330, 1.932], [2.062, 7.438, 1.932], [1.076, 0.856, 11.301]], "species": ["Br", "Br", "Br", "K", "Br", "Br", "Pa", "Pa", "Br", "Br", "Br", "Br", "K", "Br"], "fractional_positions": [[0.356, 0.772, 0.506], [0.072, 0.928, 0.250], [0.228, 0.644, 0.994], [0.537, 0.463, 0.750], [0.694, 0.864, 0.119], [0.306, 0.136, 0.881], [0.000, 0.000, 0.500], [0.000, 0.000, 0.000], [0.928, 0.072, 0.750], [0.772, 0.356, 0.006], [0.864, 0.694, 0.619], [0.136, 0.306, 0.381], [0.463, 0.537, 0.250], [0.644, 0.228, 0.494]], "rho_g_cm3": 3.6, "m_tot_mub_per_cell": 2.0, "final_energy_ev_per_fu": -29.71, "crystal_system": "monoclinic", "e_form_raw_mev_per_atom": -1536.6}

{"formula": "KIn4Au4", "functional": "PBE", "state": "optimized geometry", "lattice": [[-3.575, -0.932, -6.074], [6.027, -1.902, -3.256], [-1.550, -8.778, 2.259]], "species": ["In", "Au", "Au", "Au", "In", "In", "In", "In", "In", "In", "Au", "Au", "In", "Au", "K", "Au", "K", "Au"], "fractional_positions": [[0.748, 0.000, 0.632], [0.801, 0.500, 0.172], [0.301, 0.000, 0.328], [0.500, 0.199, 0.828], [0.252, 0.000, 0.632], [0.000, 0.252, 0.368], [0.500, 0.248, 0.132], [0.500, 0.752, 0.132], [0.752, 0.500, 0.868], [0.248, 0.500, 0.868], [0.000, 0.699, 0.672], [0.000, 0.301, 0.672], [0.000, 0.748, 0.368], [0.699, 0.000, 0.328], [0.500, 0.500, 0.500], [0.500, 0.801, 0.828], [0.000, 0.000, 0.000], [0.199, 0.500, 0.172]], "rho_g_cm3": 9.2, "m_tot_mub_per_cell": 0.0, "final_energy_ev_per_fu": -27.63, "e_form_ev_per_atom": -0.2747, "crystal_system": "tetragonal"}

{"formula": "Pm4NiCl5", "functional": "PBE", "state": "optimized geometry", "lattice": [[3.964, 0.000, 0.000], [0.000, 8.350, -0.573], [-1.982, -1.787, 8.974]], "species": ["Pm", "Pm", "Ni", "Cl", "Cl", "Cl", "Pm", "Cl", "Cl", "Pm"], "fractional_positions": [[0.346, 0.901, 0.692], [0.001, 0.776, 0.002], [0.500, 0.000, 0.000], [0.827, 0.140, 0.654], [0.500, 0.500, 0.000], [0.834, 0.656, 0.669], [0.654, 0.099, 0.308], [0.173, 0.860, 0.346], [0.166, 0.344, 0.331], [0.999, 0.224, 0.998]], "rho_g_cm3": 4.6, "m_tot_mub_per_cell": 0.0, "final_energy_ev_per_fu": -50.10, "crystal_system": "monoclinic", "e_form_raw_mev_per_atom": -1608.3}